(1)
Entry from Alexandria via LeMat-Bulk: a geometry-optimized AgIBr structure (GGA-PBEsol).

The structure in CIF format:
```
data_AgIBr
_chemical_formula_sum 'Ag2 I2 Br2'
_cell_length_a 4.1401
_cell_length_b 6.3041
_cell_length_c 8.4939
_cell_angle_alpha 105.01
_cell_angle_beta 101.15
_cell_angle_gamma 119.26
_symmetry_space_group_name_H-M 'P 1'
_symmetry_Int_Tables_number 1
loop_
_symmetry_equiv_pos_as_xyz
'x,y,z'
loop_
_atom_site_label
_atom_site_fract_x
_atom_site_fract_y
_atom_site_fract_z
I1 0.9094 0.6040 0.8835
I2 0.0906 0.3960 0.1165
Ag1 0.9627 0.6521 0.4005
Ag2 0.0373 0.3479 0.5995
Br1 0.7296 0.8599 0.6393
Br2 0.2704 0.1401 0.3607
```

Properties
**Total DFT energy (no corrections)**: -7.471 eV/f.u.
**Uncorrected formation energy**: -4.02 kcal/mol of atoms

(2)
Entry from Alexandria via LeMat-Bulk: a geometry-optimized AgIBr2 structure (GGA-PBEsol).

The structure in CIF format:
```
data_AgIBr2
_chemical_formula_sum 'Ag2 I2 Br4'
_cell_length_a 6.6152
_cell_length_b 6.6152
_cell_length_c 6.6152
_cell_angle_alpha 104.16
_cell_angle_beta 104.16
_cell_angle_gamma 120.71
_symmetry_space_group_name_H-M 'P 1'
_symmetry_Int_Tables_number 1
loop_
_symmetry_equiv_pos_as_xyz
'x,y,z'
loop_
_atom_site_label
_atom_site_fract_x
_atom_site_fract_y
_atom_site_fract_z
I1 0.2500 0.7500 0.5000
I2 0.0000 0.0000 0.0000
Br1 0.8036 0.8750 0.4286
Br2 0.4464 0.3750 0.5714
Br3 0.6250 0.1964 0.0714
Br4 0.1250 0.5536 0.9286
Ag1 0.7500 0.2500 0.5000
Ag2 0.5000 0.5000 0.0000
```

Properties
**Total DFT energy (no corrections)**: -8.500 eV/f.u.
**Energy relative to the lowest polymorph listed for this composition**: 0.87 eV/f.u.
**Uncorrected formation energy**: 1.83 kcal/mol of atoms

(3)
Entry from Alexandria via LeMat-Bulk: a geometry-optimized AgIBr2 structure (GGA-PBEsol).

The structure in CIF format:
```
data_AgIBr2
_chemical_formula_sum 'Ag1 I1 Br2'
_cell_length_a 4.2144
_cell_length_b 4.2144
_cell_length_c 8.6229
_cell_angle_alpha 75.86
_cell_angle_beta 75.86
_cell_angle_gamma 60.00
_symmetry_space_group_name_H-M 'P 1'
_symmetry_Int_Tables_number 1
loop_
_symmetry_equiv_pos_as_xyz
'x,y,z'
loop_
_atom_site_label
_atom_site_fract_x
_atom_site_fract_y
_atom_site_fract_z
I1 0.0000 0.0000 0.0000
Ag1 0.5000 0.5000 0.5000
Br1 0.8902 0.8902 0.3293
Br2 0.1098 0.1098 0.6707
```

Properties
**Total DFT energy (no corrections)**: -9.367 eV/f.u.
**Energy relative to the lowest polymorph listed for this composition**: 0.00 eV/f.u.
**Uncorrected formation energy**: -3.16 kcal/mol of atoms

(4)
Entry from Alexandria via LeMat-Bulk: a geometry-optimized AgI2BrN structure (GGA-PBEsol).

The structure in CIF format:
```
data_AgI2BrN
_chemical_formula_sum 'Ag1 I2 Br1 N1'
_cell_length_a 3.7207
_cell_length_b 6.0038
_cell_length_c 6.0038
_cell_angle_alpha 90.00
_cell_angle_beta 90.00
_cell_angle_gamma 90.00
_symmetry_space_group_name_H-M 'P 1'
_symmetry_Int_Tables_number 1
loop_
_symmetry_equiv_pos_as_xyz
'x,y,z'
loop_
_atom_site_label
_atom_site_fract_x
_atom_site_fract_y
_atom_site_fract_z
I1 0.0000 0.0000 0.5000
I2 0.0000 0.5000 0.0000
Br1 0.0000 0.0000 0.0000
Ag1 0.5000 0.5000 0.5000
N1 0.5000 0.0000 0.0000
```

Properties
**Total DFT energy (no corrections)**: -11.458 eV/f.u.
**Uncorrected formation energy**: 26.67 kcal/mol of atoms

(5)
Entry from Alexandria via LeMat-Bulk: a geometry-optimized ZnAgIBr2 structure (GGA-PBEsol).

The structure in CIF format:
```
data_ZnAgIBr2
_chemical_formula_sum 'Zn1 Ag1 I1 Br2'
_cell_length_a 5.2647
_cell_length_b 5.8350
_cell_length_c 5.8350
_cell_angle_alpha 90.00
_cell_angle_beta 90.00
_cell_angle_gamma 90.00
_symmetry_space_group_name_H-M 'P 1'
_symmetry_Int_Tables_number 1
loop_
_symmetry_equiv_pos_as_xyz
'x,y,z'
loop_
_atom_site_label
_atom_site_fract_x
_atom_site_fract_y
_atom_site_fract_z
I1 0.0000 0.0000 0.0000
Zn1 0.5000 0.5000 0.5000
Br1 0.0000 0.0000 0.5000
Br2 0.0000 0.5000 0.0000
Ag1 0.5000 0.0000 0.0000
```

Properties
**Total DFT energy (no corrections)**: -8.197 eV/f.u.
**Uncorrected formation energy**: 10.16 kcal/mol of atoms

(6)
Entry from Alexandria via LeMat-Bulk: a geometry-optimized InAg2Br structure (GGA-PBEsol).

The structure in CIF format:
```
data_InAg2Br
_chemical_formula_sum 'In1 Ag2 Br1'
_cell_length_a 3.5011
_cell_length_b 4.9700
_cell_length_c 5.8074
_cell_angle_alpha 115.28
_cell_angle_beta 107.47
_cell_angle_gamma 90.16
_symmetry_space_group_name_H-M 'P 1'
_symmetry_Int_Tables_number 1
loop_
_symmetry_equiv_pos_as_xyz
'x,y,z'
loop_
_atom_site_label
_atom_site_fract_x
_atom_site_fract_y
_atom_site_fract_z
Br1 0.0000 0.0000 0.0000
Ag1 0.0000 0.0000 0.5000
Ag2 0.5000 0.5000 0.5000
In1 0.5000 0.5000 0.0000
```

Properties
**Total DFT energy (no corrections)**: -11.243 eV/f.u.
**Energy relative to the lowest polymorph listed for this composition**: 0.13 eV/f.u.
**Uncorrected formation energy**: 1.34 kcal/mol of atoms